Entry from Alexandria: a geometry-optimized NaThPdO4 structure (PBE).

```
NaThPdO4
1.0
-3.186 3.660 4.784
3.186 -3.660 4.784
3.186 3.660 -4.784
Na Th Pd O
2 2 2 8
Direct
0.390 0.140 0.250
0.610 0.860 0.750
0.000 0.500 0.500
0.500 0.500 0.000
0.000 0.000 0.500
0.000 0.500 0.000
0.183 0.746 0.437
0.191 0.254 0.937
0.259 0.293 0.534
0.259 0.725 0.966
0.741 0.275 0.034
0.741 0.707 0.466
0.809 0.746 0.063
0.817 0.254 0.563
```

Computed properties:
**Volume**: 223.1 Å³ per cell
**Crystal system**: orthorhombic
**E_form (uncorrected)**: -1.953 eV/atom
**Size of the total moment**: 1.01 μB/f.u.
**E**: -6.776 eV/atom
**SG**: Imma